# 1
First-principles (PBE with a Hubbard U) data for crystalline BaDy4Mn3O12 at its relaxed geometry, as listed in the Alexandria database.

abc: 7.138 7.138 7.138
angles: 109.47 109.47 109.47
Fractional positions:
Ba 0.000 0.000 0.000
Dy 0.000 0.000 0.500
Dy 0.000 0.500 0.000
Dy 0.500 0.000 0.000
Dy 0.500 0.500 0.500
Mn 0.000 0.500 0.500
Mn 0.500 0.000 0.500
Mn 0.500 0.500 0.000
O 0.158 0.484 0.325
O 0.158 0.833 0.675
O 0.167 0.325 0.842
O 0.325 0.158 0.484
O 0.325 0.842 0.167
O 0.484 0.325 0.158
O 0.516 0.675 0.842
O 0.675 0.158 0.833
O 0.675 0.842 0.516
O 0.833 0.675 0.158
O 0.842 0.167 0.325
O 0.842 0.516 0.675

Calculated values
symmetry	Im-3, No. 204
magnetic moment	13.2	μB per formula unit
calculated volume	14.0	Å³ per atom
VASP energy	-7.686	eV/atom



# 2
First-principles (PBE with a Hubbard U) data for crystalline Ba3DyMn2O9 at its relaxed geometry, as listed in the Alexandria database.

abc: 5.812 5.812 7.171
angles: 90.00 90.00 120.00
Fractional positions:
Ba 0.000 0.000 0.000
Ba 0.333 0.667 0.679
Ba 0.667 0.333 0.321
Dy 0.000 0.000 0.500
Mn 0.333 0.667 0.165
Mn 0.667 0.333 0.835
O 0.000 0.500 0.000
O 0.178 0.357 0.315
O 0.178 0.822 0.315
O 0.357 0.178 0.685
O 0.500 0.000 0.000
O 0.500 0.500 0.000
O 0.643 0.822 0.315
O 0.822 0.178 0.685
O 0.822 0.643 0.685

Calculated values
symmetry	P-3m1, No. 164
magnetic moment	7.0	μB per formula unit
calculated volume	14.0	Å³ per atom
VASP energy	-6.931	eV/atom